(1)
Sc2GaO: relaxed, PBE.

Cell lengths 6.3279, 6.3279, 7.2346 Å; angles 90.00, 90.00, 90.00 degrees
Space group I-42d (No. 122)
One atom of each set of equivalent atoms:
Sc  0.1549  0.7500  0.1250
Ga  0.0000  0.0000  0.5000
O  0.0000  0.0000  0.0000

Output
Calculated density, g cm⁻³: 4.03
Final energy, eV per formula unit: -26.8
Fermi-level density of states, states/eV/f.u.: 3.20

(2)
Sc3GaO6: relaxed, PBE.

Cell lengths 8.3480, 10.5301, 5.1665 Å; angles 90.00, 90.00, 90.00 degrees
Space group Cmc2_1 (No. 36)
One atom of each set of equivalent atoms:
Sc  0.0000  0.0990  0.0000
Sc  0.1933  0.3971  0.0578
Ga  0.0000  0.3039  0.5792
O  0.0000  0.2847  0.2257
O  0.0000  0.4628  0.7445
O  0.1616  0.0235  0.2783
O  0.1641  0.2284  0.7737

Output
Calculated density, g cm⁻³: 4.40
Final energy, eV per formula unit: -82.4
Fermi-level density of states, states/eV/f.u.: 0.00

(3)
Sc2GaO: relaxed, PBE.

Cell lengths 3.1841, 3.1841, 24.1639 Å; angles 90.00, 90.00, 120.00 degrees
Space group R-3m (No. 166, hexagonal axes)
One atom of each set of equivalent atoms:
Sc  0.0000  0.0000  0.1149
Ga  0.0000  0.0000  0.0000
O  0.0000  0.0000  0.5000

Output
Calculated density, g cm⁻³: 4.12
Final energy, eV per formula unit: -25.9
Fermi-level density of states, states/eV/f.u.: 4.15

(4)
ScGa2O: relaxed, PBE.

Cell lengths 8.7475, 8.7475, 4.0113 Å; angles 90.00, 90.00, 90.00 degrees
Space group I-42d (No. 122)
One atom of each set of equivalent atoms:
Sc  0.0000  0.0000  0.0000
Ga  0.1533  0.2500  0.6250
O  0.0000  0.0000  0.5000

Output
Calculated density, g cm⁻³: 4.34
Final energy, eV per formula unit: -20.7
Fermi-level density of states, states/eV/f.u.: 3.32

(5)
Sc6Ga2O: relaxed, PBE.

Cell lengths 3.2713, 13.4773, 8.0959 Å; angles 90.00, 90.00, 90.00 degrees
Space group Amm2 (No. 38)
One atom of each set of equivalent atoms:
Sc  0.0000  0.0000  0.0000
Sc  0.0000  0.1115  0.6298
Sc  0.5000  0.0000  0.3284
Sc  0.5000  0.2060  0.9596
Ga  0.0000  0.1697  0.2498
O  0.5000  0.0000  0.5824

Output
Calculated density, g cm⁻³: 3.96
Final energy, eV per formula unit: -56.7
Fermi-level density of states, states/eV/f.u.: 11.60

(6)
ScGa2O4: relaxed, PBE.

Cell lengths 4.5266, 4.5266, 4.9728 Å; angles 90.00, 90.00, 90.00 degrees
Space group P-42m (No. 111)
One atom of each set of equivalent atoms:
Sc  0.0000  0.0000  0.0000
Ga  0.0000  0.5000  0.5000
O  0.2348  0.2348  0.2758

Output
Calculated density, g cm⁻³: 4.05
Final energy, eV per formula unit: -46.5
Fermi-level density of states, states/eV/f.u.: 1.83

Which of these has the lowest calculated density?
Sc6Ga2O

Among the records above, which one has the highest final energy?
ScGa2O

Which formula does entry 4 have?
ScGa2O

Which of these has the lowest final energy?
Sc3GaO6